Ta3FeF, optimized geometry, DFT GGA+U; total moment = 3.362 μB/cell; symmetry = Pm-3m; E_tot = -8.124 eV per atom
1.0
4.311 0.000 0.000
0.000 4.311 0.000
0.000 0.000 4.311
Ta Fe F
3 1 1
direct
0.000 0.000 0.500 Ta
0.000 0.500 0.000 Ta
0.500 0.000 0.000 Ta
0.500 0.500 0.500 Fe
0.000 0.000 0.000 F